Pu2AlAg | PBE | relaxed

extended XYZ file:
```
4
Lattice="1.471 0.849 11.446 -1.471 0.849 11.446 0.000 -1.699 11.446" Properties=species:S:1:pos:R:3 pbc="T T T"
Pu 0.000 0.000 3.065
Pu 0.000 0.000 31.274
Al 0.000 0.000 17.169
Ag 0.000 0.000 0.000
```

The raw total energy comes out at -8.585 eV per atom. The formation enthalpy at 0 K comes out at 0.92 eV/f.u. The value obtained for the total magnetic moment is 10.02 μB/f.u.

PuAl6Ag12 | PBE | relaxed

extended XYZ file:
```
19
Lattice="5.927 3.422 3.007 -5.927 3.422 3.007 0.000 -6.844 3.007" Properties=species:S:1:pos:R:3 pbc="T T T"
Pu 0.000 0.000 0.000
Al 0.000 -2.895 3.772
Al -2.507 1.447 3.772
Al -2.507 -1.447 5.248
Al 2.507 1.447 3.772
Al 2.507 -1.447 5.248
Al 0.000 2.895 5.248
Ag -2.271 -3.934 4.510
Ag -4.542 0.000 4.510
Ag -1.491 -0.861 2.758
Ag 1.491 -0.861 2.758
Ag 0.000 1.722 2.758
Ag 2.271 -3.934 4.510
Ag -2.271 3.934 4.510
Ag 0.000 -1.722 6.262
Ag -1.491 0.861 6.262
Ag 1.491 0.861 6.262
Ag 4.542 0.000 4.510
Ag 2.271 3.934 4.510
```

The raw total energy comes out at -3.693 eV per atom. The formation enthalpy at 0 K comes out at 0.83 eV/f.u. The value obtained for the total magnetic moment is 5.96 μB/f.u.

Pu2AlAg3 | PBE | relaxed

extended XYZ file:
```
12
Lattice="5.741 0.000 0.000 -2.871 4.972 0.000 0.000 0.000 8.926" Properties=species:S:1:pos:R:3 pbc="T T T"
Pu 0.000 3.315 0.521
Pu 0.000 3.315 3.942
Pu 2.871 1.657 4.984
Pu 2.871 1.657 8.405
Al 0.000 0.000 0.000
Al 0.000 0.000 4.463
Ag 0.000 1.663 6.694
Ag -1.431 4.141 6.694
Ag 1.440 0.831 2.231
Ag 1.431 4.141 6.694
Ag 4.301 0.831 2.231
Ag 2.871 3.309 2.231
```

The raw total energy comes out at -6.918 eV per atom. The calculation puts the relative energy among the computed polymorphs at 0 meV per atom. The formation enthalpy at 0 K comes out at -0.55 eV/f.u. The value obtained for the total magnetic moment is 11.59 μB/f.u.

Pu2AlAg3 | PBE | relaxed

extended XYZ file:
```
6
Lattice="2.878 1.662 4.452 -2.878 1.662 4.452 0.000 -3.323 4.452" Properties=species:S:1:pos:R:3 pbc="T T T"
Pu 0.000 0.000 1.641
Pu 0.000 0.000 11.715
Al 0.000 0.000 6.678
Ag -1.439 -0.831 4.452
Ag -1.439 0.831 8.904
Ag 0.000 1.662 4.452
```

The raw total energy comes out at -6.890 eV per atom. The calculation puts the relative energy among the computed polymorphs at 28 meV per atom. The formation enthalpy at 0 K comes out at -0.38 eV/f.u. The value obtained for the total magnetic moment is 11.85 μB/f.u.

Pu2Al6Ag | PBE | relaxed

extended XYZ file:
```
9
Lattice="5.985 0.000 0.000 -2.993 5.184 0.000 0.000 0.000 5.672" Properties=species:S:1:pos:R:3 pbc="T T T"
Pu 0.000 3.456 1.858
Pu 2.993 1.728 3.814
Al 0.000 1.850 4.667
Al -1.391 4.259 4.667
Al 1.602 0.925 1.005
Al 1.391 4.259 4.667
Al 4.383 0.925 1.005
Al 2.993 3.334 1.005
Ag 0.000 0.000 2.836
```

The raw total energy comes out at -6.203 eV per atom. The formation enthalpy at 0 K comes out at -1.86 eV/f.u. The value obtained for the total magnetic moment is 11.08 μB/f.u.

PuAl2Ag | PBE | relaxed

extended XYZ file:
```
4
Lattice="5.256 0.000 0.000 0.000 5.256 0.000 0.000 0.000 2.840" Properties=species:S:1:pos:R:3 pbc="T T T"
Pu 0.000 0.000 0.000
Al 0.000 2.628 1.420
Al 2.628 0.000 1.420
Ag 2.628 2.628 0.000
```

The raw total energy comes out at -6.161 eV per atom. The formation enthalpy at 0 K comes out at 0.03 eV/f.u. The value obtained for the total magnetic moment is 5.23 μB/f.u.

PuAl5Ag7 | PBE | relaxed

extended XYZ file:
```
13
Lattice="-2.701 4.696 4.632 2.701 -4.696 4.632 2.701 4.696 -4.632" Properties=species:S:1:pos:R:3 pbc="T T T"
Pu 0.000 0.000 0.000
Al 2.701 0.000 2.032
Al -1.343 2.380 2.336
Al 1.343 2.380 2.336
Al -1.343 7.012 2.336
Al 1.343 7.012 2.336
Ag 2.701 1.960 0.053
Ag 0.000 0.000 3.113
Ag 2.701 -1.452 4.581
Ag 2.701 1.452 4.581
Ag 0.000 0.000 6.041
Ag 0.000 4.696 2.577
Ag 0.000 2.736 4.685
```

The raw total energy comes out at -4.188 eV per atom. The formation enthalpy at 0 K comes out at -1.44 eV/f.u. The value obtained for the total magnetic moment is 5.67 μB/f.u.

Pu2Al15Ag2 | PBE | relaxed

extended XYZ file:
```
19
Lattice="4.625 2.670 4.616 -4.625 2.670 4.616 0.000 -5.340 4.616" Properties=species:S:1:pos:R:3 pbc="T T T"
Pu 0.000 0.000 2.162
Pu 0.000 0.000 11.685
Al -2.312 -1.335 4.616
Al 0.000 -2.738 4.413
Al -2.371 1.369 4.413
Al -1.406 -2.435 6.924
Al -2.812 0.000 6.924
Al -2.371 -1.369 9.434
Al -2.312 1.335 9.231
Al 1.406 -2.435 6.924
Al 0.000 2.670 4.616
Al -1.406 2.435 6.924
Al 2.371 1.369 4.413
Al 2.812 0.000 6.924
Al 1.406 2.435 6.924
Al 2.371 -1.369 9.434
Al 0.000 2.738 9.434
Ag 0.000 0.000 5.491
Ag 0.000 0.000 8.356
```

The raw total energy comes out at -4.860 eV per atom. The formation enthalpy at 0 K comes out at -1.84 eV/f.u. The value obtained for the total magnetic moment is 10.90 μB/f.u.

Pu2AlAg | PBE | relaxed

extended XYZ file:
```
4
Lattice="3.954 0.000 0.000 0.000 3.954 0.000 0.000 0.000 5.843" Properties=species:S:1:pos:R:3 pbc="T T T"
Pu 0.000 0.000 1.442
Pu 0.000 0.000 4.401
Al 1.977 1.977 0.000
Ag 1.977 1.977 2.921
```

The raw total energy comes out at -8.830 eV per atom. The formation enthalpy at 0 K comes out at -0.06 eV/f.u. The value obtained for the total magnetic moment is 11.64 μB/f.u.

PuAl3Ag2 | PBE | relaxed

extended XYZ file:
```
12
Lattice="7.841 -2.304 0.000 7.841 2.304 0.000 -3.638 0.000 6.622" Properties=species:S:1:pos:R:3 pbc="T T T"
Pu 1.539 0.000 0.843
Pu 10.504 0.000 5.779
Al -1.208 0.000 2.209
Al 13.252 0.000 4.413
Al 3.082 0.000 3.480
Al 4.591 0.000 0.742
Al 7.453 0.000 5.880
Al 8.962 0.000 3.142
Ag 0.423 0.000 4.548
Ag 7.167 0.000 1.233
Ag 4.877 0.000 5.389
Ag 11.620 0.000 2.074
```

The raw total energy comes out at -5.296 eV per atom. The formation enthalpy at 0 K comes out at -0.51 eV/f.u. The value obtained for the total magnetic moment is 5.63 μB/f.u.

PuAlAg2 | PBE | relaxed

extended XYZ file:
```
4
Lattice="3.068 0.000 0.000 0.000 3.068 0.000 0.000 0.000 8.232" Properties=species:S:1:pos:R:3 pbc="T T T"
Pu 0.000 0.000 0.000
Al 0.000 0.000 4.116
Ag 1.534 1.534 2.436
Ag 1.534 1.534 5.796
```

The raw total energy comes out at -5.959 eV per atom. The formation enthalpy at 0 K comes out at -0.06 eV/f.u. The value obtained for the total magnetic moment is 5.80 μB/f.u.

PuAl3Ag | PBE | relaxed

extended XYZ file:
```
10
Lattice="6.398 0.000 0.000 -3.199 5.541 0.000 0.000 0.000 5.654" Properties=species:S:1:pos:R:3 pbc="T T T"
Pu 0.000 3.694 1.414
Pu 3.199 1.847 4.241
Al 0.000 2.194 4.241
Al -1.299 4.444 4.241
Al 1.900 1.097 1.414
Al 1.299 4.444 4.241
Al 4.498 1.097 1.414
Al 3.199 3.347 1.414
Ag 0.000 0.000 0.000
Ag 0.000 0.000 2.827
```

The raw total energy comes out at -5.776 eV per atom. The formation enthalpy at 0 K comes out at -0.47 eV/f.u. The value obtained for the total magnetic moment is 5.46 μB/f.u.

Pu2Al3Ag | PBE | relaxed

extended XYZ file:
```
12
Lattice="5.664 0.000 0.000 -2.832 4.905 0.000 0.000 0.000 8.673" Properties=species:S:1:pos:R:3 pbc="T T T"
Pu 0.000 3.270 0.651
Pu 0.000 3.270 3.686
Pu 2.832 1.635 4.987
Pu 2.832 1.635 8.022
Al 0.000 1.674 6.505
Al -1.382 4.068 6.505
Al 1.450 0.837 2.168
Al 1.382 4.068 6.505
Al 4.213 0.837 2.168
Al 2.832 3.230 2.168
Ag 0.000 0.000 0.000
Ag 0.000 0.000 4.336
```

The raw total energy comes out at -7.400 eV per atom. The formation enthalpy at 0 K comes out at -1.66 eV/f.u. The value obtained for the total magnetic moment is 11.20 μB/f.u.

Pu3AlAg3S8 | PBE | relaxed

extended XYZ file:
```
15
Lattice="3.972 2.293 6.052 -3.972 2.293 6.052 0.000 -4.586 6.052" Properties=species:S:1:pos:R:3 pbc="T T T"
Pu -1.986 -1.147 6.052
Pu -1.986 1.147 12.104
Pu 0.000 2.293 6.052
Al 0.000 0.000 0.000
Ag -3.972 0.000 9.078
Ag -1.986 1.147 3.026
Ag 1.986 1.147 3.026
S 0.000 -2.509 7.410
S -2.173 1.255 7.410
S -2.173 -1.255 10.745
S 0.000 0.000 4.624
S 0.000 0.000 13.532
S 2.173 1.255 7.410
S 2.173 -1.255 10.745
S 0.000 2.509 10.745
```

The raw total energy comes out at -6.873 eV per atom. The formation energy from raw total energies is -0.99 eV/atom. The value obtained for the total magnetic moment is 14.00 μB/f.u.

PuScAlAg | PBE | relaxed

extended XYZ file:
```
4
Lattice="0.000 3.546 3.546 3.546 0.000 3.546 3.546 3.546 0.000" Properties=species:S:1:pos:R:3 pbc="T T T"
Pu 0.000 0.000 0.000
Sc 3.546 3.546 3.546
Al 5.319 5.319 5.319
Ag 1.773 1.773 1.773
```

The raw total energy comes out at -6.915 eV per atom. The formation enthalpy at 0 K comes out at -0.40 eV/f.u. The value obtained for the total magnetic moment is 5.68 μB/f.u.

Pu3AlAg3Se8 | PBE | relaxed

extended XYZ file:
```
15
Lattice="4.150 2.396 6.332 -4.150 2.396 6.332 0.000 -4.792 6.332" Properties=species:S:1:pos:R:3 pbc="T T T"
Pu -2.075 -1.198 6.332
Pu -2.075 1.198 12.664
Pu 0.000 2.396 6.332
Al 0.000 0.000 0.000
Ag -4.150 0.000 9.498
Ag -2.075 1.198 3.166
Ag 2.075 1.198 3.166
Se -2.259 -1.304 11.204
Se 0.000 -2.608 7.792
Se -2.259 1.304 7.792
Se 0.000 0.000 4.786
Se 0.000 0.000 14.210
Se 2.259 -1.304 11.204
Se 0.000 2.608 11.204
Se 2.259 1.304 7.792
```

The raw total energy comes out at -6.397 eV per atom. The formation energy from raw total energies is -0.85 eV/atom. The value obtained for the total magnetic moment is 14.00 μB/f.u.

SmPuAlAg | PBE | relaxed

extended XYZ file:
```
4
Lattice="0.000 3.684 3.684 3.684 0.000 3.684 3.684 3.684 0.000" Properties=species:S:1:pos:R:3 pbc="T T T"
Sm 0.000 0.000 0.000
Pu 3.684 3.684 3.684
Al 5.527 5.527 5.527
Ag 1.842 1.842 1.842
```

The raw total energy comes out at -6.507 eV per atom. The formation enthalpy at 0 K comes out at -0.38 eV/f.u. The value obtained for the total magnetic moment is 6.02 μB/f.u.

PuAlTlAg | PBE | relaxed

extended XYZ file:
```
4
Lattice="0.000 3.574 3.574 3.574 0.000 3.574 3.574 3.574 0.000" Properties=species:S:1:pos:R:3 pbc="T T T"
Pu 0.000 0.000 0.000
Al 3.574 3.574 3.574
Tl 1.787 1.787 1.787
Ag 5.361 5.361 5.361
```

The raw total energy comes out at -5.772 eV per atom. The formation enthalpy at 0 K comes out at 0.20 eV/f.u. The value obtained for the total magnetic moment is 5.56 μB/f.u.

PuAlZn4Ag2 | PBE | relaxed

extended XYZ file:
```
8
Lattice="2.200 1.270 8.938 -2.200 1.270 8.938 0.000 -2.540 8.938" Properties=species:S:1:pos:R:3 pbc="T T T"
Pu 0.000 0.000 0.000
Al 0.000 0.000 13.407
Zn 0.000 0.000 3.374
Zn 0.000 0.000 10.639
Zn 0.000 0.000 16.175
Zn 0.000 0.000 23.440
Ag 0.000 0.000 6.464
Ag 0.000 0.000 20.350
```

The raw total energy comes out at -3.576 eV per atom. The formation enthalpy at 0 K comes out at 0.26 eV/f.u. The value obtained for the total magnetic moment is 5.82 μB/f.u.

Pu2Al4Zn3Ag | PBE | relaxed

extended XYZ file:
```
10
Lattice="4.206 0.000 0.000 0.000 4.206 0.000 0.000 0.000 10.915" Properties=species:S:1:pos:R:3 pbc="T T T"
Pu 0.000 2.103 2.669
Pu 2.103 0.000 8.246
Al 0.000 0.000 0.000
Al 0.000 2.103 6.984
Al 2.103 0.000 3.931
Al 2.103 2.103 0.000
Zn 0.000 2.103 9.434
Zn 2.103 0.000 1.481
Zn 2.103 2.103 5.458
Ag 0.000 0.000 5.458
```

The raw total energy comes out at -5.201 eV per atom. The formation enthalpy at 0 K comes out at -1.71 eV/f.u. The value obtained for the total magnetic moment is 11.15 μB/f.u.

RbAl2Ag2 | PBE | relaxed

extended XYZ file:
```
5
Lattice="-2.460 2.460 5.172 2.460 -2.460 5.172 2.460 2.460 -5.172" Properties=species:S:1:pos:R:3 pbc="T T T"
Rb 0.000 0.000 0.000
Al 0.000 0.000 3.712
Al 0.000 0.000 6.632
Ag 2.460 0.000 2.586
Ag 0.000 2.460 2.586
```

The raw total energy comes out at -2.727 eV per atom. The calculation puts the relative energy among the computed polymorphs at 0 meV per atom. The formation enthalpy at 0 K comes out at 0.52 eV/f.u. The value obtained for the total magnetic moment is 0.00 μB/f.u.

RbAl2Ag2 | PBE | relaxed

extended XYZ file:
```
10
Lattice="8.738 0.000 0.000 0.000 8.738 0.000 0.000 0.000 2.863" Properties=species:S:1:pos:R:3 pbc="T T T"
Rb 0.000 0.000 0.000
Rb 4.369 4.369 0.000
Al 1.108 3.261 1.431
Al 3.261 7.630 1.431
Al 5.477 1.108 1.431
Al 7.630 5.477 1.431
Ag 1.367 5.736 0.000
Ag 3.002 1.367 0.000
Ag 5.736 7.371 0.000
Ag 7.371 3.002 0.000
```

The raw total energy comes out at -2.708 eV per atom. The calculation puts the relative energy among the computed polymorphs at 19 meV per atom. The formation enthalpy at 0 K comes out at 0.61 eV/f.u. The value obtained for the total magnetic moment is 0.00 μB/f.u.

RbAlAg4 | PBE | relaxed

extended XYZ file:
```
12
Lattice="7.068 -2.996 0.000 7.068 2.996 0.000 -0.470 0.000 6.931" Properties=species:S:1:pos:R:3 pbc="T T T"
Rb 2.797 0.000 2.569
Rb 10.869 0.000 4.362
Al 5.887 0.000 5.578
Al 7.779 0.000 1.353
Ag 5.754 1.617 0.802
Ag 6.833 1.466 3.465
Ag 3.335 0.000 6.291
Ag 7.912 1.617 6.129
Ag 5.754 -1.617 0.802
Ag 10.331 0.000 0.640
Ag 6.833 -1.466 3.465
Ag 7.912 -1.617 6.129
```

The raw total energy comes out at -2.618 eV per atom. The formation enthalpy at 0 K comes out at 0.40 eV/f.u. The value obtained for the total magnetic moment is 0.00 μB/f.u.